Crystalline Ca4AsSeI2 at its relaxed geometry, computed with GGA-PBE.

a b c (Å): 7.5353 4.3567 7.7990
angles (deg): 90.00 108.78 90.00
Last column: nearest neighbours and their distance in Å.
Space group P2/m (No. 10)
Inequivalent atoms, fractional coordinates:
Ca1 0.2261 0.0000 0.1998 x2  2 As 2.89, 1 Se 2.96
Ca2 0.2589 0.5000 0.7978 x2  1 As 2.88, 2 Se 2.95
As1 0.0000 0.5000 0.0000 x1  6 Ca 2.88-2.89
Se1 0.5000 0.0000 0.0000 x1  6 Ca 2.95-2.96
I1 0.0000 0.0000 0.5000 x1  6 Ca 3.31-3.32
I2 0.5000 0.5000 0.5000 x1  6 Ca 3.37-3.38

Summary:
- Final energy: -3.8701 eV/atom

Crystalline MgTi2VGe at its relaxed geometry, computed with GGA-PBE.

a b c (Å): 4.7096 4.7096 4.5507
angles (deg): 90.00 90.00 90.00
Last column: nearest neighbours and their distance in Å.
Space group P4/mmm (No. 123)
Inequivalent atoms, fractional coordinates:
Mg1 0.0000 0.0000 0.0000 x1  2 V 2.28, 4 Ti 2.35
Ti1 0.0000 0.5000 0.0000 x2  2 Mg 2.35
V1 0.0000 0.0000 0.5000 x1  2 Mg 2.28
Ge1 0.5000 0.5000 0.5000 x1  8 Ti 3.27, 4 V 3.33

Summary:
- Formation energy from the elements: 1273 meV per atom

Crystalline TlWBr2 at its relaxed geometry, computed with GGA-PBE.

a b c (Å): 3.2131 5.1906 14.4024
angles (deg): 90.00 90.00 90.00
Last column: nearest neighbours and their distance in Å.
Space group Immm (No. 71)
Inequivalent atoms, fractional coordinates:
Tl1 0.0000 0.0000 0.0000 x2  4 W 3.05, 2 Tl 3.21, 4 Br 3.35
W1 0.0000 0.0000 0.5000 x2  4 Br 2.66
Br1 0.0000 0.5000 0.1475 x4  2 W 2.66

Summary:
- Relative energy among the computed polymorphs: 0.131 eV per formula unit

Crystalline TlCoTc4 at its relaxed geometry, computed with GGA-PBE.

a b c (Å): 7.3088 7.3088 7.3088
angles (deg): 90.00 90.00 90.00
Last column: nearest neighbours and their distance in Å.
Space group F-43m (No. 216)
Inequivalent atoms, fractional coordinates:
Tl1 0.0000 0.0000 0.0000 x4  12 Tc 3.03, 4 Co 3.16
Co1 0.2500 0.2500 0.2500 x4  12 Tc 3.03, 4 Tl 3.16
Tc1 0.1246 0.1246 0.6246 x16  6 Tc 2.58-2.59

Summary:
- Formation energy from the elements: 687 meV per atom

Crystalline Y2ZrIr2 at its relaxed geometry, computed with GGA-PBE.

a b c (Å): 7.1142 7.1142 4.3891
angles (deg): 90.00 90.00 90.00
Last column: nearest neighbours and their distance in Å.
Space group P4/mbm (No. 127)
Inequivalent atoms, fractional coordinates:
Y1 0.1727 0.3273 0.0000 x4  6 Ir 2.92-3.12
Zr1 0.0000 0.0000 0.5000 x2  4 Ir 2.76
Ir1 0.1360 0.6360 0.5000 x4  1 Ir 2.74, 2 Zr 2.76, 2 Y 2.92

Summary:
- Formation energy from the elements: -706 meV per atom
- Relative energy among the computed polymorphs: 0.256 eV per formula unit

Crystalline NaTlS3 at its relaxed geometry, computed with GGA-PBE.

a b c (Å): 10.3134 7.1220 8.9256
angles (deg): 90.00 123.81 90.00
Last column: nearest neighbours and their distance in Å.
Space group Cc (No. 9)
Inequivalent atoms, fractional coordinates:
Na1 0.0000 0.2496 0.0000 x4  5 S 2.88-3.02
Tl1 0.1727 0.2494 0.6191 x4  6 S 3.11-3.39
S1 0.3189 0.2488 0.0614 x4  2 S 2.10
S2 0.4470 0.4861 0.2091 x4  1 S 2.10
S3 0.4496 0.0132 0.2106 x4  1 S 2.10

Summary:
- Relative energy among the computed polymorphs: 0.000 eV per formula unit

Crystalline Sc2BeW at its relaxed geometry, computed with GGA-PBE.

a b c (Å): 4.4925 2.9926 10.7153
angles (deg): 90.00 90.00 90.00
Last column: nearest neighbours and their distance in Å.
Space group Amm2 (No. 38)
Inequivalent atoms, fractional coordinates:
Sc1 0.0000 0.0000 0.0000 x2  3 Be 2.78-3.01, 4 W 2.90, 2 Sc 2.99
Sc2 0.5000 0.0000 0.3226 x2  3 W 2.83-2.96, 4 Be 2.92, 2 Sc 2.99
Be1 0.0000 0.0000 0.7188 x2  2 W 2.59, 2 Sc 2.78
W1 0.5000 0.0000 0.5988 x2  2 Be 2.59, 2 Sc 2.83

Summary:
- Formation energy from the elements: 253 meV per atom

Crystalline Tb2PuSb3 at its relaxed geometry, computed with GGA-PBE.

a b c (Å): 6.2375 18.7089 6.2291
angles (deg): 90.00 90.00 90.00
Last column: nearest neighbours and their distance in Å.
Space group Cmmm (No. 65)
Inequivalent atoms, fractional coordinates:
Tb1 0.0000 0.0000 0.0000 x2  6 Sb 3.11-3.12
Tb2 0.0000 0.1659 0.5000 x4  6 Sb 3.10-3.14
Tb3 0.0000 0.5000 0.5000 x2  6 Sb 3.11-3.12
Pu1 0.0000 0.3331 0.0000 x4  6 Sb 3.11-3.12
Sb1 0.0000 0.0000 0.5000 x2  6 Tb 3.10-3.12
Sb2 0.0000 0.1667 0.0000 x4  3 Pu 3.11-3.12, 3 Tb 3.11-3.12
Sb3 0.0000 0.3337 0.5000 x4  4 Tb 3.11-3.14, 2 Pu 3.11
Sb4 0.0000 0.5000 0.0000 x2  4 Tb 3.11-3.12, 2 Pu 3.12

Summary:
- Final energy: -6.9491 eV/atom

Crystalline Sr2LiMn at its relaxed geometry, computed with GGA-PBE.

a b c (Å): 4.9116 4.9116 11.2344
angles (deg): 90.00 90.00 90.00
Last column: nearest neighbours and their distance in Å.
Space group I-4m2 (No. 119)
Inequivalent atoms, fractional coordinates:
Sr1 0.0000 0.0000 0.0000 x2  4 Mn 3.47, 4 Li 3.73, 4 Sr 3.73
Sr2 0.0000 0.5000 0.2500 x2  4 Li 3.47, 4 Sr 3.73, 4 Mn 3.73
Li1 0.0000 0.5000 0.7500 x2  8 Sr 3.47-3.73, 4 Mn 3.73
Mn1 0.0000 0.0000 0.5000 x2  8 Sr 3.47-3.73, 4 Li 3.73

Summary:
- Formation energy from the elements: 441 meV per atom
- Relative energy among the computed polymorphs: 0.464 eV per formula unit

Crystalline EuPd2Pb at its relaxed geometry, computed with GGA-PBE.

a b c (Å): 4.8680 4.8680 3.7034
angles (deg): 90.00 90.00 90.00
Last column: nearest neighbours and their distance in Å.
Space group P4/mmm (No. 123)
Inequivalent atoms, fractional coordinates:
Eu1 0.0000 0.0000 0.0000 x1  8 Pd 3.06
Pd1 0.0000 0.5000 0.5000 x2  4 Pb 3.06, 4 Eu 3.06
Pb1 0.5000 0.5000 0.0000 x1  8 Pd 3.06

Summary:
- Formation energy from the elements: -480 meV per atom

Crystalline SmEr2Te2 at its relaxed geometry, computed with GGA-PBE.

a b c (Å): 7.0958 5.9401 7.3838
angles (deg): 90.00 104.73 90.00
Last column: nearest neighbours and their distance in Å.
Space group C2/m (No. 12)
Inequivalent atoms, fractional coordinates:
Sm1 0.0000 0.0000 0.0000 x2  6 Te 3.12-3.43
Er1 0.0000 0.2475 0.5000 x4  2 Er 2.94-3.00, 4 Te 3.10
Te1 0.1716 0.5000 0.2110 x4  4 Er 3.10, 3 Sm 3.12-3.43, 1 Te 3.43

Summary:
- Final energy: -4.7587 eV/atom

Crystalline TaSi2 at its relaxed geometry, computed with GGA-PBE.

a b c (Å): 4.5409 4.5409 2.7446
angles (deg): 90.00 90.00 90.00
Last column: nearest neighbours and their distance in Å.
Space group P4/mmm (No. 123)
Inequivalent atoms, fractional coordinates:
Ta1 0.0000 0.0000 0.0000 x1  8 Si 2.65, 2 Ta 2.74
Si1 0.0000 0.5000 0.5000 x2  4 Ta 2.65, 2 Si 2.74

Summary:
- Final energy: -7.4537 eV/atom